This record from Alexandria via LeMat-Bulk describes a PBEsol-optimized structure of CuPW2. The functional is SCAN.

Structure (extended XYZ):
```
8
Lattice="3.218 0.000 0.000 0.000 4.458 0.000 0.000 0.000 7.809" Properties=species:S:1:pos:R:3 pbc="T T T"
Cu 0.000 0.000 0.000
Cu 1.609 2.229 0.000
P 0.000 0.000 3.905
P 1.609 2.229 3.905
W 0.000 2.229 2.084
W 0.000 2.229 5.725
W 1.609 0.000 2.084
W 1.609 0.000 5.725
```

---

This record from Alexandria via LeMat-Bulk describes a PBEsol-optimized structure of CuPW2. The functional is SCAN.

Structure (extended XYZ):
```
4
Lattice="3.181 0.000 0.000 0.000 4.016 0.000 0.000 0.000 4.349" Properties=species:S:1:pos:R:3 pbc="T T T"
Cu 0.000 0.000 0.000
P 1.590 0.000 2.175
W 0.000 2.008 2.175
W 1.590 2.008 0.000
```

---

This record from Alexandria via LeMat-Bulk describes a PBEsol-optimized structure of Cu2PW. The functional is SCAN.

Structure (extended XYZ):
```
8
Lattice="3.445 0.000 0.000 0.000 3.445 0.000 0.000 0.000 8.627" Properties=species:S:1:pos:R:3 pbc="T T T"
Cu 0.000 1.722 2.157
Cu 0.000 1.722 6.470
Cu 1.722 0.000 2.157
Cu 1.722 0.000 6.470
P 0.000 0.000 0.000
P 1.722 1.722 4.314
W 0.000 0.000 4.314
W 1.722 1.722 0.000
```

---

Number 1: DFT formation energy 493 meV per atom. Number 2: DFT formation energy 454 meV per atom. Number 3: DFT formation energy 333 meV per atom.